(1)
A plane-wave DFT calculation with PBE was carried out for crystalline LaAlGa2Cu at its relaxed geometry.

Calculated values
Final energy (eV per atom): -4.292

CIF file:
```
data_LaAlGa2Cu
_cell_length_a 4.2385
_cell_length_b 4.2385
_cell_length_c 10.8295
_cell_angle_alpha 90.00
_cell_angle_beta 90.00
_cell_angle_gamma 90.00
_space_group_name_H-M_alt 'I -4 m 2'
_space_group_IT_number 119
_space_group_name_Hall 'I -4 -2'
loop_
_atom_site_label
_atom_site_fract_x
_atom_site_fract_y
_atom_site_fract_z
La1 0.0000 0.0000 0.0000
Al1 0.0000 0.5000 0.2500
Ga1 0.0000 0.0000 0.3829
Cu1 0.0000 0.5000 0.7500
```

=====

(2)
A plane-wave DFT calculation with PBE was carried out for crystalline LaAlGaCu6 at its relaxed geometry.

Calculated values
Final energy (eV per atom): -3.929

CIF file:
```
data_LaAlGaCu6
_cell_length_a 6.9106
_cell_length_b 9.2092
_cell_length_c 9.5925
_cell_angle_alpha 90.00
_cell_angle_beta 90.00
_cell_angle_gamma 90.00
_space_group_name_H-M_alt 'I m m a'
_space_group_IT_number 74
_space_group_name_Hall '-I 2b 2'
loop_
_atom_site_label
_atom_site_fract_x
_atom_site_fract_y
_atom_site_fract_z
La1 0.0000 0.2500 0.2359
Al1 0.2500 0.2500 0.7500
Ga1 0.0000 0.0000 0.0000
Cu1 0.0000 0.2500 0.5508
Cu2 0.0000 0.2500 0.9306
Cu3 0.1837 0.0175 0.6261
```

=====

(3)
A plane-wave DFT calculation with PBE was carried out for crystalline La2AlGa4Cu3 at its relaxed geometry.

Calculated values
Final energy (eV per atom): -4.295

CIF file:
```
data_La2AlGa4Cu3
_cell_length_a 4.2599
_cell_length_b 4.2599
_cell_length_c 10.5239
_cell_angle_alpha 90.00
_cell_angle_beta 90.00
_cell_angle_gamma 90.00
_space_group_name_H-M_alt 'P -4 m 2'
_space_group_IT_number 115
_space_group_name_Hall 'P -4 -2'
loop_
_atom_site_label
_atom_site_fract_x
_atom_site_fract_y
_atom_site_fract_z
La1 0.0000 0.5000 0.2453
Al1 0.0000 0.0000 0.5000
Ga1 0.0000 0.0000 0.0000
Ga2 0.0000 0.5000 0.6394
Ga3 0.5000 0.5000 0.0000
Cu1 0.0000 0.5000 0.8732
Cu2 0.5000 0.5000 0.5000
```

=====

(4)
A plane-wave DFT calculation with PBE was carried out for crystalline LaAlGa4Cu2 at its relaxed geometry.

Calculated values
Final energy (eV per atom): -3.841

CIF file:
```
data_LaAlGa4Cu2
_cell_length_a 4.3508
_cell_length_b 4.3508
_cell_length_c 26.9316
_cell_angle_alpha 90.00
_cell_angle_beta 90.00
_cell_angle_gamma 120.00
_space_group_name_H-M_alt 'R -3 m'
_space_group_IT_number 166
_space_group_name_Hall '-R 3 2"'
loop_
_atom_site_label
_atom_site_fract_x
_atom_site_fract_y
_atom_site_fract_z
La1 0.0000 0.0000 0.0000
Al1 0.0000 0.0000 0.5000
Ga1 0.0000 0.0000 0.1255
Ga2 0.0000 0.0000 0.4015
Cu1 0.0000 0.0000 0.2354
```

=====

- What is the final energy in the fourth record?
  -3.841 eV per atom